Entry from Alexandria: KCdRh2 after structural relaxation (PBE).

Lattice parameters (Å, degrees): 2.8833 2.8833 9.9263 90.00 90.00 115.07
Atoms (fractional coordinates):
Rh (0.0000, 0.0000, 0.4773)
Rh (0.0000, 0.0000, 0.0227)
K (0.5000, 0.5000, 0.7500)
Cd (0.5000, 0.5000, 0.2500)

## Properties
- total moment (μB/cell) = 0.000
- volume (Å³ per cell) = 75
- Fermi-level density of states (states/eV/f.u.) = 4.5
- raw total energy (eV/f.u.) = -15.0
- ΔH_f (0 K) (kJ per mole of atoms) = 42.5


Entry from Alexandria: KCd3Rh after structural relaxation (PBE).

Lattice parameters (Å, degrees): 5.9108 5.9108 5.9108 90.00 90.00 90.00
Atoms (fractional coordinates):
Cd (0.0000, 0.5000, 0.0000)
K (0.0000, 0.0000, 0.0000)
Cd (0.0000, 0.0000, 0.5000)
Rh (0.5000, 0.5000, 0.5000)
Cd (0.5000, 0.0000, 0.0000)

## Properties
- total moment (μB/cell) = 0.000
- volume (Å³ per cell) = 207
- Fermi-level density of states (states/eV/f.u.) = 15.5
- raw total energy (eV/f.u.) = -4.2
- ΔH_f (0 K) (kJ per mole of atoms) = 135.8


Entry from Alexandria: KCd3Rh after structural relaxation (PBE).

Lattice parameters (Å, degrees): 7.3690 7.3690 5.3669 90.00 90.00 114.91
Atoms (fractional coordinates):
Rh (0.1897, 0.8103, 0.2500)
Cd (0.9320, 0.4140, 0.2500)
K (0.5637, 0.4363, 0.7500)
Cd (0.4140, 0.9320, 0.7500)
Cd (0.0000, 0.0000, 0.5000)
Rh (0.8103, 0.1897, 0.7500)
Cd (0.5860, 0.0680, 0.2500)
Cd (0.0000, 0.0000, 0.0000)
Cd (0.0680, 0.5860, 0.7500)
K (0.4363, 0.5637, 0.2500)

## Properties
- total moment (μB/cell) = 0.000
- volume (Å³ per cell) = 264
- Fermi-level density of states (states/eV/f.u.) = 2.3
- raw total energy (eV/f.u.) = -10.9
- ΔH_f (0 K) (kJ per mole of atoms) = 4.9


Entry from Alexandria: KCd3Rh after structural relaxation (PBE).

Lattice parameters (Å, degrees): 6.7702 7.3303 5.5629 90.01 90.01 114.20
Atoms (fractional coordinates):
Cd (0.3368, 0.6127, 0.6080)
Rh (0.4591, 0.6609, 0.1095)
K (0.3275, 0.1354, 0.3843)
Cd (0.0356, 0.3863, 0.1083)
Rh (0.9135, 0.3379, 0.6098)
K (0.0446, 0.8631, 0.8844)
Cd (0.7609, 0.5775, 0.3747)
Cd (0.7462, 0.9818, 0.3697)
Cd (0.6112, 0.4209, 0.8746)
Cd (0.6262, 0.0170, 0.8697)

## Properties
- total moment (μB/cell) = 0.000
- volume (Å³ per cell) = 252
- Fermi-level density of states (states/eV/f.u.) = 2.0
- raw total energy (eV/f.u.) = -11.6
- ΔH_f (0 K) (kJ per mole of atoms) = -7.0


Copy entry 3 word for word.
Entry from Alexandria: KCd3Rh after structural relaxation (PBE).

Lattice parameters (Å, degrees): 7.3690 7.3690 5.3669 90.00 90.00 114.91
Atoms (fractional coordinates):
Rh (0.1897, 0.8103, 0.2500)
Cd (0.9320, 0.4140, 0.2500)
K (0.5637, 0.4363, 0.7500)
Cd (0.4140, 0.9320, 0.7500)
Cd (0.0000, 0.0000, 0.5000)
Rh (0.8103, 0.1897, 0.7500)
Cd (0.5860, 0.0680, 0.2500)
Cd (0.0000, 0.0000, 0.0000)
Cd (0.0680, 0.5860, 0.7500)
K (0.4363, 0.5637, 0.2500)

## Properties
- total moment (μB/cell) = 0.000
- volume (Å³ per cell) = 264
- Fermi-level density of states (states/eV/f.u.) = 2.3
- raw total energy (eV/f.u.) = -10.9
- ΔH_f (0 K) (kJ per mole of atoms) = 4.9


- What is the raw total energy in the second record?
  -4.2 eV/f.u.